# 1
Below is crystalline TaFe7 at its relaxed geometry, with properties calculated at the GGA-PBE level.

Cell: 5.1104 5.1104 5.1104 Å, 60.00 60.00 60.00°
With the nearest neighbours (Å) after each atom.
Fractional positions:
Fe (0.5000, 0.0000, 0.0000)  2 Ta 2.56, 10 Fe 2.56
Fe (0.0000, 0.5000, 0.0000)  2 Ta 2.56, 10 Fe 2.56
Fe (0.0000, 0.0000, 0.5000)  2 Ta 2.56, 10 Fe 2.56
Fe (0.5000, 0.0000, 0.5000)  10 Fe 2.56, 2 Ta 2.56
Fe (0.5000, 0.5000, 0.0000)  10 Fe 2.56, 2 Ta 2.56
Fe (0.5000, 0.5000, 0.5000)  12 Fe 2.56
Ta (0.0000, 0.0000, 0.0000)  12 Fe 2.56
Fe (0.0000, 0.5000, 0.5000)  10 Fe 2.56, 2 Ta 2.56

Results
Calculated total energy in eV per atom: -8.792
ΔE_f in eV/atom: 0.09
Calculated density in g cm⁻³: 10.06


# 2
Below is crystalline DyTm4Rh2 at its relaxed geometry, with properties calculated at the GGA-PBE level.

Cell: 6.2694 7.8233 7.7310 Å, 112.59 90.00 90.00°
With the nearest neighbours (Å) after each atom.
Fractional positions:
Tm (0.4981, 0.5879, 0.2387)  4 Rh 2.93-3.03, 2 Tm 3.11-3.16
Tm (0.2500, 0.9831, 0.6156)  2 Rh 2.72-2.86
Tm (0.0019, 0.5879, 0.2387)  4 Rh 2.93-3.03, 2 Tm 3.11-3.16
Tm (0.9981, 0.4121, 0.7613)  4 Rh 2.93-3.03, 2 Tm 3.11-3.16
Tm (0.7500, 0.7503, 0.6645)  2 Rh 2.72-2.84
Rh (0.2500, 0.2596, 0.9881)  6 Tm 2.72-2.99
Rh (0.7500, 0.7404, 0.0119)  6 Tm 2.72-2.99
Tm (0.5019, 0.4121, 0.7613)  4 Rh 2.93-3.03, 2 Tm 3.11-3.16
Tm (0.2500, 0.2497, 0.3355)  2 Rh 2.72-2.84
Rh (0.7500, 0.3742, 0.4125)  6 Tm 2.72-3.03, 1 Dy 2.82
Dy (0.2500, 0.8395, 0.9751)  1 Rh 2.82
Dy (0.7500, 0.1605, 0.0249)  1 Rh 2.82
Rh (0.2500, 0.6258, 0.5875)  6 Tm 2.72-3.03, 1 Dy 2.82
Tm (0.7500, 0.0169, 0.3844)  2 Rh 2.72-2.86

Results
Calculated total energy in eV per atom: -5.839
ΔE_f in eV/atom: -0.53
Calculated density in g cm⁻³: 9.90


# 3
Below is crystalline CsGaAu2I at its relaxed geometry, with properties calculated at the GGA-PBE level.

Cell: 5.9461 11.3816 5.9461 Å, 90.00 90.00 90.00°
With the nearest neighbours (Å) after each atom.
Fractional positions:
Au (0.0000, 0.0000, 0.5000)  2 Cs 2.97
Cs (0.0000, 0.0000, 0.0000)  4 Au 2.97
Ga (0.0000, 0.5000, 0.0000)  4 I 4.20
Au (0.5000, 0.0000, 0.0000)  2 Cs 2.97
I (0.5000, 0.5000, 0.5000)  4 Ga 4.20

Results
Calculated total energy in eV per atom: -1.656
Formation energy without anion corrections in eV per formula unit: 3.704
Calculated density in g cm⁻³: 2.99


# 4
Below is crystalline Zr6ZnO2 at its relaxed geometry, with properties calculated at the GGA-PBE level.

Cell: 5.7565 5.7565 7.7421 Å, 68.18 68.18 60.00°
With the nearest neighbours (Å) after each atom.
Fractional positions:
O (0.7316, 0.7316, 0.8053)  3 Zr 2.07
Zn (0.3327, 0.3327, 0.0020)  6 Zr 2.97
Zr (0.1013, 0.7682, 0.6785)  1 O 2.07
O (0.6019, 0.6019, 0.1942)  3 Zr 2.07
Zr (0.5593, 0.8833, 0.3220)  1 O 2.07
Zr (0.2354, 0.5593, 0.3220)  1 O 2.07
Zr (0.4520, 0.1013, 0.6785)  1 O 2.07
Zr (0.7682, 0.4520, 0.6785)  1 O 2.07
Zr (0.8833, 0.2354, 0.3220)  1 O 2.07

Results
Calculated total energy in eV per atom: -7.767
Formation energy without anion corrections in eV per formula unit: -7.422
Calculated density in g cm⁻³: 5.34


no.,density of states at the Fermi level (states/eV per atom)
1,1.091
2,1.062
3,0.571
4,0.999